1.
DFT (PBE-GGA) results for a relaxed structure of TbNd8Ga6.

Cell: 8.8631 8.8631 18.9930 Å, 90.00 90.00 120.00°
Space group R-3 (No. 148, hexagonal axes)
One atom of each set of equivalent atoms:
Tb 0.0000 0.0000 0.0000 [3 per cell]
Nd 0.0000 0.0000 0.3340 [6 per cell]
Nd 0.9996 0.3325 0.7801 [18 per cell]
Ga 0.0002 0.3280 0.9447 [18 per cell]

Summary:
Formation enthalpy at 0 K = -0.3573 eV per atom
Theoretical density = 6.67 g/cm3
Calculated total energy = -4.42 eV/atom



2.
DFT (PBE-GGA) results for a relaxed structure of Tb3NdGa2.

Cell: 16.232 5.126 8.870 Å, 90.00 116.99 90.00°
Space group C2/m (No. 12)
One atom of each set of equivalent atoms:
Tb 0.063 0.000 0.217 [4 per cell]
Tb 0.123 0.500 0.010 [4 per cell]
Tb 0.188 0.500 0.494 [4 per cell]
Nd 0.128 0.000 0.689 [4 per cell]
Ga 0.011 0.500 0.649 [4 per cell]
Ga 0.226 0.000 0.114 [4 per cell]

Summary:
Formation enthalpy at 0 K = -0.3303 eV per atom
Theoretical density = 7.68 g/cm3
Calculated total energy = -4.45 eV/atom
E above lowest polymorph = 1.86 kcal/mol of atoms



3.
DFT (PBE-GGA) results for a relaxed structure of TbNd2Ga.

Cell: 7.695 7.695 7.695 Å, 90.00 90.00 90.00°
Space group Fm-3m (No. 225)
One atom of each set of equivalent atoms:
Tb 0.000 0.000 0.000 [4 per cell]
Nd 0.250 0.250 0.250 [8 per cell]
Ga 0.000 0.000 0.500 [4 per cell]

Summary:
Formation enthalpy at 0 K = -0.0895 eV per atom
Theoretical density = 7.54 g/cm3
Calculated total energy = -4.39 eV/atom
E above lowest polymorph = 3.84 kcal/mol of atoms



4.
DFT (PBE-GGA) results for a relaxed structure of Tb2Nd3Ga4.

Cell: 11.092 4.504 9.712 Å, 90.00 90.62 90.00°
Space group C2/m (No. 12)
One atom of each set of equivalent atoms:
Tb 0.181 0.000 0.268 [4 per cell]
Nd 0.000 0.500 0.500 [2 per cell]
Nd 0.120 0.000 0.884 [4 per cell]
Ga 0.081 0.500 0.105 [4 per cell]
Ga 0.197 0.000 0.572 [4 per cell]

Summary:
Formation enthalpy at 0 K = -0.4609 eV per atom
Theoretical density = 7.05 g/cm3
Calculated total energy = -4.42 eV/atom



Please write out number 4 again, unchanged.
DFT (PBE-GGA) results for a relaxed structure of Tb2Nd3Ga4.

Cell: 11.092 4.504 9.712 Å, 90.00 90.62 90.00°
Space group C2/m (No. 12)
One atom of each set of equivalent atoms:
Tb 0.181 0.000 0.268 [4 per cell]
Nd 0.000 0.500 0.500 [2 per cell]
Nd 0.120 0.000 0.884 [4 per cell]
Ga 0.081 0.500 0.105 [4 per cell]
Ga 0.197 0.000 0.572 [4 per cell]

Summary:
Formation enthalpy at 0 K = -0.4609 eV per atom
Theoretical density = 7.05 g/cm3
Calculated total energy = -4.42 eV/atom



Question: Among the records above, which one has the lowest formation enthalpy at 0 K?
Answer: Tb2Nd3Ga4